[1]
# Tm4Ni | Alexandria via LeMat-Bulk | GGA-PBE | relaxed
data_Tm4Ni
_chemical_formula_sum 'Tm4 Ni1'
_cell_length_a 5.2229
_cell_length_b 5.2229
_cell_length_c 5.2229
_cell_angle_alpha 90.00
_cell_angle_beta 90.00
_cell_angle_gamma 90.00
_space_group_name_H-M_alt 'P 1'
_space_group_IT_number 1
loop_
_space_group_symop_operation_xyz
'x,y,z'
loop_
_atom_site_label
_atom_site_type_symbol
_atom_site_fract_x
_atom_site_fract_y
_atom_site_fract_z
Tm1 Tm 0.0000 0.0000 0.0000
Tm2 Tm 0.0000 0.5000 0.5000
Tm3 Tm 0.5000 0.0000 0.5000
Tm4 Tm 0.5000 0.5000 0.0000
Ni1 Ni 0.5000 0.5000 0.5000
# Density of states at the Fermi level, states/eV/cell: 8.46
# DFT formation energy, meV per atom: -48
# Volume, Å³ per atom: 28.49
# Theoretical density, g/cm³: 8.56
# Total energy, eV/atom: -4.78

[2]
# Tm3Ni | Alexandria via LeMat-Bulk | GGA-PBE | relaxed
data_Tm3Ni
_chemical_formula_sum 'Tm12 Ni4'
_cell_length_a 8.6130
_cell_length_b 8.6130
_cell_length_c 8.6130
_cell_angle_alpha 97.04
_cell_angle_beta 97.04
_cell_angle_gamma 139.03
_space_group_name_H-M_alt 'P 1'
_space_group_IT_number 1
loop_
_space_group_symop_operation_xyz
'x,y,z'
loop_
_atom_site_label
_atom_site_type_symbol
_atom_site_fract_x
_atom_site_fract_y
_atom_site_fract_z
Tm1 Tm 0.0962 0.5957 0.6937
Tm2 Tm 0.1084 0.2500 0.8581
Tm3 Tm 0.2465 0.3451 0.4996
Tm4 Tm 0.2531 0.7535 0.0986
Tm5 Tm 0.3919 0.2504 0.1419
Tm6 Tm 0.4043 0.0979 0.5004
Tm7 Tm 0.5975 0.9038 0.4996
Tm8 Tm 0.6549 0.1545 0.9014
Tm9 Tm 0.7500 0.6081 0.8585
Tm10 Tm 0.7496 0.8916 0.1415
Tm11 Tm 0.8455 0.7469 0.5004
Tm12 Tm 0.9021 0.4025 0.3063
Ni1 Ni 0.2503 0.0412 0.7917
Ni2 Ni 0.2495 0.4586 0.2083
Ni3 Ni 0.5414 0.7497 0.7910
Ni4 Ni 0.9588 0.7505 0.2090
# Density of states at the Fermi level, states/eV/cell: 23.34
# DFT formation energy, meV per atom: -176
# Volume, Å³ per atom: 24.53
# Theoretical density, g/cm³: 9.57
# Total energy, eV/atom: -4.97

[3]
# TmNi2 | Alexandria via LeMat-Bulk | GGA-PBE | relaxed
data_TmNi2
_chemical_formula_sum 'Tm1 Ni2'
_cell_length_a 4.9541
_cell_length_b 4.9541
_cell_length_c 4.9541
_cell_angle_alpha 141.43
_cell_angle_beta 141.43
_cell_angle_gamma 55.70
_space_group_name_H-M_alt 'P 1'
_space_group_IT_number 1
loop_
_space_group_symop_operation_xyz
'x,y,z'
loop_
_atom_site_label
_atom_site_type_symbol
_atom_site_fract_x
_atom_site_fract_y
_atom_site_fract_z
Tm1 Tm 0.0000 0.0000 0.0000
Ni1 Ni 0.3158 0.3158 0.0000
Ni2 Ni 0.6842 0.6842 0.0000
# Density of states at the Fermi level, states/eV/cell: 3.68
# DFT formation energy, meV per atom: -219
# Volume, Å³ per atom: 15.64
# Theoretical density, g/cm³: 10.13
# Total energy, eV/atom: -5.56

[4]
# TmNi3 | Alexandria via LeMat-Bulk | GGA-PBE | relaxed
data_TmNi3
_chemical_formula_sum 'Tm1 Ni3'
_cell_length_a 4.6335
_cell_length_b 4.6335
_cell_length_c 4.6335
_cell_angle_alpha 130.55
_cell_angle_beta 130.55
_cell_angle_gamma 72.53
_space_group_name_H-M_alt 'P 1'
_space_group_IT_number 1
loop_
_space_group_symop_operation_xyz
'x,y,z'
loop_
_atom_site_label
_atom_site_type_symbol
_atom_site_fract_x
_atom_site_fract_y
_atom_site_fract_z
Tm1 Tm 0.0000 0.0000 0.0000
Ni1 Ni 0.2500 0.7500 0.5000
Ni2 Ni 0.5000 0.5000 0.0000
Ni3 Ni 0.7500 0.2500 0.5000
# Density of states at the Fermi level, states/eV/cell: 6.95
# DFT formation energy, meV per atom: -229
# Volume, Å³ per atom: 14.03
# Theoretical density, g/cm³: 10.21
# Total energy, eV/atom: -5.68

[5]
# Tm2Ni17 | Alexandria via LeMat-Bulk | GGA-PBE | relaxed
data_Tm2Ni17
_chemical_formula_sum 'Tm4 Ni34'
_cell_length_a 8.2581
_cell_length_b 8.2581
_cell_length_c 8.0009
_cell_angle_alpha 90.00
_cell_angle_beta 90.00
_cell_angle_gamma 120.00
_space_group_name_H-M_alt 'P 1'
_space_group_IT_number 1
loop_
_space_group_symop_operation_xyz
'x,y,z'
loop_
_atom_site_label
_atom_site_type_symbol
_atom_site_fract_x
_atom_site_fract_y
_atom_site_fract_z
Tm1 Tm 0.0000 0.0000 0.2500
Tm2 Tm 0.0000 0.0000 0.7500
Tm3 Tm 0.3333 0.6667 0.2500
Tm4 Tm 0.6667 0.3333 0.7500
Ni1 Ni 0.0000 0.5000 0.0000
Ni2 Ni 0.0000 0.5000 0.5000
Ni3 Ni 0.0422 0.3698 0.7500
Ni4 Ni 0.0422 0.6724 0.7500
Ni5 Ni 0.1654 0.3307 0.0218
Ni6 Ni 0.1654 0.3307 0.4782
Ni7 Ni 0.1654 0.8346 0.0218
Ni8 Ni 0.1654 0.8346 0.4782
Ni9 Ni 0.3276 0.3698 0.7500
Ni10 Ni 0.3276 0.9578 0.7500
Ni11 Ni 0.3307 0.1654 0.5218
Ni12 Ni 0.3307 0.1654 0.9782
Ni13 Ni 0.3333 0.6667 0.6012
Ni14 Ni 0.3333 0.6667 0.8988
Ni15 Ni 0.3698 0.0422 0.2500
Ni16 Ni 0.3698 0.3276 0.2500
Ni17 Ni 0.5000 0.0000 0.0000
Ni18 Ni 0.5000 0.0000 0.5000
Ni19 Ni 0.5000 0.5000 0.0000
Ni20 Ni 0.5000 0.5000 0.5000
Ni21 Ni 0.6302 0.6724 0.7500
Ni22 Ni 0.6302 0.9578 0.7500
Ni23 Ni 0.6667 0.3333 0.1012
Ni24 Ni 0.6667 0.3333 0.3988
Ni25 Ni 0.6693 0.8346 0.0218
Ni26 Ni 0.6693 0.8346 0.4782
Ni27 Ni 0.6724 0.0422 0.2500
Ni28 Ni 0.6724 0.6302 0.2500
Ni29 Ni 0.8346 0.1654 0.5218
Ni30 Ni 0.8346 0.1654 0.9782
Ni31 Ni 0.8346 0.6693 0.5218
Ni32 Ni 0.8346 0.6693 0.9782
Ni33 Ni 0.9578 0.3276 0.2500
Ni34 Ni 0.9578 0.6302 0.2500
# Density of states at the Fermi level, states/eV/cell: 51.46
# DFT formation energy, meV per atom: -208
# Volume, Å³ per atom: 12.43
# Theoretical density, g/cm³: 9.39
# Total energy, eV/atom: -5.85

[6]
# Tm3Ni | Alexandria via LeMat-Bulk | GGA-PBE | relaxed
data_Tm3Ni
_chemical_formula_sum 'Tm12 Ni4'
_cell_length_a 6.7443
_cell_length_b 9.3970
_cell_length_c 6.2346
_cell_angle_alpha 90.00
_cell_angle_beta 90.00
_cell_angle_gamma 90.00
_space_group_name_H-M_alt 'P 1'
_space_group_IT_number 1
loop_
_space_group_symop_operation_xyz
'x,y,z'
loop_
_atom_site_label
_atom_site_type_symbol
_atom_site_fract_x
_atom_site_fract_y
_atom_site_fract_z
Tm1 Tm 0.0328 0.2500 0.1367
Tm2 Tm 0.1796 0.0652 0.6796
Tm3 Tm 0.1796 0.4348 0.6796
Tm4 Tm 0.3204 0.5652 0.1796
Tm5 Tm 0.3204 0.9348 0.1796
Tm6 Tm 0.4672 0.7500 0.6367
Tm7 Tm 0.5328 0.2500 0.3633
Tm8 Tm 0.6796 0.0652 0.8204
Tm9 Tm 0.6796 0.4348 0.8204
Tm10 Tm 0.8204 0.5652 0.3204
Tm11 Tm 0.8204 0.9348 0.3204
Tm12 Tm 0.9672 0.7500 0.8633
Ni1 Ni 0.1073 0.7500 0.4501
Ni2 Ni 0.3927 0.2500 0.9501
Ni3 Ni 0.6073 0.7500 0.0499
Ni4 Ni 0.8927 0.2500 0.5499
# Density of states at the Fermi level, states/eV/cell: 17.37
# DFT formation energy, meV per atom: -277
# Volume, Å³ per atom: 24.70
# Theoretical density, g/cm³: 9.51
# Total energy, eV/atom: -5.08

[7]
# Tm4Ni | Alexandria via LeMat-Bulk | GGA-PBE | relaxed
data_Tm4Ni
_chemical_formula_sum 'Tm8 Ni2'
_cell_length_a 7.4184
_cell_length_b 7.4184
_cell_length_c 7.4184
_cell_angle_alpha 60.00
_cell_angle_beta 60.00
_cell_angle_gamma 60.00
_space_group_name_H-M_alt 'P 1'
_space_group_IT_number 1
loop_
_space_group_symop_operation_xyz
'x,y,z'
loop_
_atom_site_label
_atom_site_type_symbol
_atom_site_fract_x
_atom_site_fract_y
_atom_site_fract_z
Tm1 Tm 0.2134 0.7622 0.7622
Tm2 Tm 0.2378 0.2378 0.2378
Tm3 Tm 0.2378 0.2378 0.7866
Tm4 Tm 0.2378 0.7866 0.2378
Tm5 Tm 0.7622 0.2134 0.7622
Tm6 Tm 0.7622 0.7622 0.2134
Tm7 Tm 0.7622 0.7622 0.7622
Tm8 Tm 0.7866 0.2378 0.2378
Ni1 Ni 0.3750 0.3750 0.3750
Ni2 Ni 0.6250 0.6250 0.6250
# Density of states at the Fermi level, states/eV/cell: 17.96
# DFT formation energy, meV per atom: 243
# Volume, Å³ per atom: 28.87
# Theoretical density, g/cm³: 8.45
# Total energy, eV/atom: -4.49

[8]
# Tm3Ni2 | Alexandria via LeMat-Bulk | GGA-PBE | relaxed
data_Tm3Ni2
_chemical_formula_sum 'Tm12 Ni8'
_cell_length_a 10.7852
_cell_length_b 3.7051
_cell_length_c 10.9718
_cell_angle_alpha 90.00
_cell_angle_beta 90.00
_cell_angle_gamma 90.00
_space_group_name_H-M_alt 'P 1'
_space_group_IT_number 1
loop_
_space_group_symop_operation_xyz
'x,y,z'
loop_
_atom_site_label
_atom_site_type_symbol
_atom_site_fract_x
_atom_site_fract_y
_atom_site_fract_z
Tm1 Tm 0.0522 0.2500 0.1302
Tm2 Tm 0.1167 0.7500 0.5661
Tm3 Tm 0.2179 0.2500 0.8138
Tm4 Tm 0.2821 0.7500 0.3138
Tm5 Tm 0.3833 0.2500 0.0661
Tm6 Tm 0.4478 0.7500 0.6302
Tm7 Tm 0.5522 0.2500 0.3698
Tm8 Tm 0.6167 0.7500 0.9339
Tm9 Tm 0.7179 0.2500 0.6862
Tm10 Tm 0.7821 0.7500 0.1862
Tm11 Tm 0.8833 0.2500 0.4339
Tm12 Tm 0.9478 0.7500 0.8698
Ni1 Ni 0.0191 0.7500 0.3154
Ni2 Ni 0.1897 0.7500 0.0019
Ni3 Ni 0.3103 0.2500 0.5019
Ni4 Ni 0.4809 0.2500 0.8154
Ni5 Ni 0.5191 0.7500 0.1846
Ni6 Ni 0.6897 0.7500 0.4981
Ni7 Ni 0.8103 0.2500 0.9981
Ni8 Ni 0.9809 0.2500 0.6846
# Density of states at the Fermi level, states/eV/cell: 12.86
# DFT formation energy, meV per atom: -337
# Volume, Å³ per atom: 21.92
# Theoretical density, g/cm³: 9.46
# Total energy, eV/atom: -5.33

[9]
# Tm2Ni17 | Alexandria via LeMat-Bulk | GGA-PBE | relaxed
data_Tm2Ni17
_chemical_formula_sum 'Tm2 Ni17'
_cell_length_a 6.2267
_cell_length_b 6.2267
_cell_length_c 6.2267
_cell_angle_alpha 82.99
_cell_angle_beta 82.99
_cell_angle_gamma 82.99
_space_group_name_H-M_alt 'P 1'
_space_group_IT_number 1
loop_
_space_group_symop_operation_xyz
'x,y,z'
loop_
_atom_site_label
_atom_site_type_symbol
_atom_site_fract_x
_atom_site_fract_y
_atom_site_fract_z
Tm1 Tm 0.1606 0.1606 0.1606
Tm2 Tm 0.8394 0.8394 0.8394
Ni1 Ni 0.0000 0.5000 0.5000
Ni2 Ni 0.1532 0.1532 0.6544
Ni3 Ni 0.1532 0.6544 0.1532
Ni4 Ni 0.2051 0.5000 0.7949
Ni5 Ni 0.2051 0.7949 0.5000
Ni6 Ni 0.3456 0.8468 0.8468
Ni7 Ni 0.4004 0.4004 0.4004
Ni8 Ni 0.5000 0.0000 0.5000
Ni9 Ni 0.5000 0.2051 0.7949
Ni10 Ni 0.5000 0.5000 0.0000
Ni11 Ni 0.5000 0.7949 0.2051
Ni12 Ni 0.5996 0.5996 0.5996
Ni13 Ni 0.6544 0.1532 0.1532
Ni14 Ni 0.7949 0.2051 0.5000
Ni15 Ni 0.7949 0.5000 0.2051
Ni16 Ni 0.8468 0.3456 0.8468
Ni17 Ni 0.8468 0.8468 0.3456
# Density of states at the Fermi level, states/eV/cell: 26.66
# DFT formation energy, meV per atom: -204
# Volume, Å³ per atom: 12.44
# Theoretical density, g/cm³: 9.38
# Total energy, eV/atom: -5.85

[10]
# Tm2Ni7 | Alexandria via LeMat-Bulk | GGA-PBE | relaxed
data_Tm2Ni7
_chemical_formula_sum 'Tm4 Ni14'
_cell_length_a 12.3242
_cell_length_b 12.3242
_cell_length_c 12.3242
_cell_angle_alpha 22.95
_cell_angle_beta 22.95
_cell_angle_gamma 22.95
_space_group_name_H-M_alt 'P 1'
_space_group_IT_number 1
loop_
_space_group_symop_operation_xyz
'x,y,z'
loop_
_atom_site_label
_atom_site_type_symbol
_atom_site_fract_x
_atom_site_fract_y
_atom_site_fract_z
Tm1 Tm 0.0506 0.0506 0.0506
Tm2 Tm 0.1472 0.1472 0.1472
Tm3 Tm 0.8528 0.8528 0.8528
Tm4 Tm 0.9494 0.9494 0.9494
Ni1 Ni 0.0000 0.5000 0.5000
Ni2 Ni 0.1086 0.6110 0.6110
Ni3 Ni 0.2780 0.2780 0.2780
Ni4 Ni 0.3885 0.3885 0.3885
Ni5 Ni 0.3890 0.3890 0.8914
Ni6 Ni 0.3890 0.8914 0.3890
Ni7 Ni 0.5000 0.0000 0.5000
Ni8 Ni 0.5000 0.5000 0.0000
Ni9 Ni 0.5000 0.5000 0.5000
Ni10 Ni 0.6110 0.1086 0.6110
Ni11 Ni 0.6110 0.6110 0.1086
Ni12 Ni 0.6115 0.6115 0.6115
Ni13 Ni 0.7220 0.7220 0.7220
Ni14 Ni 0.8914 0.3890 0.3890
# Density of states at the Fermi level, states/eV/cell: 20.47
# DFT formation energy, meV per atom: -416
# Volume, Å³ per atom: 13.88
# Theoretical density, g/cm³: 9.95
# Total energy, eV/atom: -5.91